The following is a GGA-PBE calculation of a relaxed Ta2Mo2W crystal, from Alexandria via LeMat-Bulk.

Properties
For the energy above the most stable polymorph in this dataset, the calculation gives 208 meV per atom. For the energy, the calculation gives -55.8 eV/f.u. The calculated formation energy is 495.4 meV/atom. The calculation puts the density of states at the Fermi level at 10.0 states/eV per cell. The mass density comes out at 13.49 g/cm3.

a b c (Å): 6.4869 6.4869 4.3159
angles (deg): 90.00 90.00 90.00
Last column: nearest neighbours and their distance in Å.
Space group P4/mbm (No. 127)
Asymmetric unit:
1 Ta 0.1792 0.3208 0.0000 (multiplicity 4)  6 Mo 2.71-3.01
2 Mo 0.1417 0.6417 0.5000 (multiplicity 4)  2 W 2.50, 1 Mo 2.60, 2 Ta 2.71
3 W 0.0000 0.0000 0.5000 (multiplicity 2)  4 Mo 2.50

***

The following is a GGA-PBE calculation of a relaxed Tm3Si2Ir3 crystal, from Alexandria via LeMat-Bulk.

Properties
For the energy, the calculation gives -59.3 eV/f.u. The uncorrected formation energy comes out at -8.47 eV per formula unit. The calculation puts the density of states at the Fermi level at 15.5 states/eV per cell. The mass density comes out at 12.58 g/cm3.

a b c (Å): 7.4827 14.6854 5.4774
angles (deg): 90.00 90.00 90.00
Last column: nearest neighbours and their distance in Å.
Space group Pnma (No. 62)
Asymmetric unit:
1 Tm 0.0256 0.1080 0.1298 (multiplicity 8)  3 Si 2.91-3.00, 7 Ir 2.97-3.26
2 Tm 0.1716 0.2500 0.5968 (multiplicity 4)  5 Ir 2.83-3.09, 4 Si 3.05-3.07
3 Si 0.1237 0.6048 0.3792 (multiplicity 8)  4 Ir 2.37-2.47
4 Ir 0.1701 0.0397 0.5995 (multiplicity 8)  3 Si 2.37-2.47
5 Ir 0.1797 0.7500 0.5938 (multiplicity 4)  2 Si 2.47